--- A ---
Here is an optimized crystal structure of K2Sb2Te from Alexandria via LeMat-Bulk. Energies are from PBE.

Values from the calculation:
For the density of states at the Fermi level, the calculation gives 0.814 states/eV per atom.

Unit cell a=8.1657 b=8.1657 c=5.4702 alpha=90.00 beta=90.00 gamma=90.00
Fractional positions:
1 K 0.1759 0.3241 0.0000
2 K 0.3241 0.8241 0.0000
3 K 0.6759 0.1759 0.0000
4 K 0.8241 0.6759 0.0000
5 Sb 0.1260 0.6260 0.5000
6 Sb 0.3740 0.1260 0.5000
7 Sb 0.6260 0.8740 0.5000
8 Sb 0.8740 0.3740 0.5000
9 Te 0.0000 0.0000 0.5000
10 Te 0.5000 0.5000 0.5000



--- B ---
Here is an optimized crystal structure of K2Sb2Te from Alexandria via LeMat-Bulk. Energies are from PBE.

Values from the calculation:
For the density of states at the Fermi level, the calculation gives 0.756 states/eV per atom.

Unit cell a=6.5954 b=6.5954 c=6.5954 alpha=115.62 beta=115.62 gamma=97.78
Fractional positions:
1 K 0.2500 0.7500 0.5000
2 K 0.7500 0.2500 0.5000
3 Sb 0.1587 0.1587 0.0000
4 Sb 0.8413 0.8413 0.0000
5 Te 0.5000 0.5000 0.0000



Relative energies with respect to the most stable structure, expressed in kJ/mol of atoms: A 0.0; B 11.9.



--- A ---
Here is an optimized crystal structure of KTiSb2Te from Alexandria via LeMat-Bulk. Energies are from PBE.

Values from the calculation:
For the density of states at the Fermi level, the calculation gives 0.890 states/eV per atom.

Unit cell a=5.3543 b=5.3543 c=5.5350 alpha=90.00 beta=90.00 gamma=90.00
Fractional positions:
1 K 0.0000 0.0000 0.0000
2 Ti 0.5000 0.5000 0.5000
3 Sb 0.0000 0.5000 0.5000
4 Sb 0.5000 0.0000 0.5000
5 Te 0.5000 0.5000 0.0000



--- B ---
Here is an optimized crystal structure of KTiSb2Te from Alexandria via LeMat-Bulk. Energies are from PBE.

Values from the calculation:
For the density of states at the Fermi level, the calculation gives 2.313 states/eV per atom.

Unit cell a=5.6441 b=5.6441 c=5.7750 alpha=90.00 beta=90.00 gamma=90.00
Fractional positions:
1 K 0.0000 0.0000 0.0000
2 Ti 0.5000 0.5000 0.5000
3 Sb 0.0000 0.5000 0.0000
4 Sb 0.5000 0.0000 0.0000
5 Te 0.0000 0.0000 0.5000



Relative energies with respect to the most stable structure, expressed in kJ/mol of atoms: A 0.0; B 169.6.



--- A ---
Here is an optimized crystal structure of KSbTe2W from Alexandria via LeMat-Bulk. Energies are from PBE.

Values from the calculation:
For the density of states at the Fermi level, the calculation gives 1.743 states/eV per atom.

Unit cell a=5.7201 b=5.7201 c=5.4957 alpha=90.00 beta=90.00 gamma=90.00
Fractional positions:
1 K 0.0000 0.0000 0.0000
2 Sb 0.0000 0.0000 0.5000
3 Te 0.0000 0.5000 0.0000
4 Te 0.5000 0.0000 0.0000
5 W 0.5000 0.5000 0.5000



--- B ---
Here is an optimized crystal structure of KSbTe2W from Alexandria via LeMat-Bulk. Energies are from PBE.

Values from the calculation:
For the density of states at the Fermi level, the calculation gives 0.726 states/eV per atom.

Unit cell a=5.4981 b=5.4981 c=5.2981 alpha=90.00 beta=90.00 gamma=90.00
Fractional positions:
1 K 0.0000 0.0000 0.0000
2 Sb 0.5000 0.5000 0.0000
3 Te 0.0000 0.5000 0.5000
4 Te 0.5000 0.0000 0.5000
5 W 0.5000 0.5000 0.5000



Relative energies with respect to the most stable structure, expressed in kJ/mol of atoms: A 209.1; B 0.0.



--- A ---
Here is an optimized crystal structure of KYSbTe2 from Alexandria via LeMat-Bulk. Energies are from PBE.

Values from the calculation:
For the density of states at the Fermi level, the calculation gives 0.630 states/eV per atom.

Unit cell a=5.8289 b=5.8289 c=5.5181 alpha=90.00 beta=90.00 gamma=90.00
Fractional positions:
1 K 0.0000 0.0000 0.0000
2 Y 0.5000 0.5000 0.5000
3 Sb 0.0000 0.0000 0.5000
4 Te 0.0000 0.5000 0.0000
5 Te 0.5000 0.0000 0.0000



--- B ---
Here is an optimized crystal structure of KYSbTe2 from Alexandria via LeMat-Bulk. Energies are from PBE.

Values from the calculation:
For the density of states at the Fermi level, the calculation gives 1.055 states/eV per atom.

Unit cell a=5.9460 b=5.9460 c=5.8890 alpha=90.00 beta=90.00 gamma=90.00
Fractional positions:
1 K 0.0000 0.0000 0.0000
2 Y 0.5000 0.5000 0.5000
3 Sb 0.5000 0.5000 0.0000
4 Te 0.0000 0.5000 0.5000
5 Te 0.5000 0.0000 0.5000



Relative energies with respect to the most stable structure, expressed in kJ/mol of atoms: A 104.6; B 0.0.



--- A ---
Here is an optimized crystal structure of KZnSb2Te from Alexandria via LeMat-Bulk. Energies are from PBE.

Values from the calculation:
For the density of states at the Fermi level, the calculation gives 0.703 states/eV per atom.

Unit cell a=5.3007 b=5.3007 c=5.7887 alpha=90.00 beta=90.00 gamma=90.00
Fractional positions:
1 K 0.0000 0.0000 0.0000
2 Zn 0.5000 0.5000 0.5000
3 Sb 0.0000 0.5000 0.5000
4 Sb 0.5000 0.0000 0.5000
5 Te 0.5000 0.5000 0.0000



--- B ---
Here is an optimized crystal structure of KZnSb2Te from Alexandria via LeMat-Bulk. Energies are from PBE.

Values from the calculation:
For the density of states at the Fermi level, the calculation gives 1.279 states/eV per atom.

Unit cell a=5.9768 b=5.9768 c=5.9742 alpha=90.00 beta=90.00 gamma=90.00
Fractional positions:
1 K 0.0000 0.0000 0.0000
2 Zn 0.5000 0.5000 0.5000
3 Sb 0.0000 0.5000 0.0000
4 Sb 0.5000 0.0000 0.0000
5 Te 0.0000 0.0000 0.5000



Relative energies with respect to the most stable structure, expressed in kJ/mol of atoms: A 0.0; B 104.6.



--- A ---
Here is an optimized crystal structure of K2Ti2Sb from Alexandria via LeMat-Bulk. Energies are from PBE.

Values from the calculation:
For the density of states at the Fermi level, the calculation gives 0.746 states/eV per atom.

Unit cell a=12.5501 b=12.5501 c=12.5501 alpha=163.73 beta=163.73 gamma=23.09
Fractional positions:
1 K 0.1069 0.1069 0.0000
2 K 0.8931 0.8931 0.0000
3 Ti 0.2500 0.7500 0.5000
4 Ti 0.7500 0.2500 0.5000
5 Sb 0.5000 0.5000 0.0000



--- B ---
Here is an optimized crystal structure of K2Ti2Sb from Alexandria via LeMat-Bulk. Energies are from PBE.

Values from the calculation:
For the density of states at the Fermi level, the calculation gives 1.143 states/eV per atom.

Unit cell a=9.9314 b=9.9314 c=3.2175 alpha=90.00 beta=90.00 gamma=90.00
Fractional positions:
1 K 0.1196 0.3804 0.0000
2 K 0.3804 0.8804 0.0000
3 K 0.6196 0.1196 0.0000
4 K 0.8804 0.6196 0.0000
5 Ti 0.1868 0.6868 0.5000
6 Ti 0.3132 0.1868 0.5000
7 Ti 0.6868 0.8132 0.5000
8 Ti 0.8132 0.3132 0.5000
9 Sb 0.0000 0.0000 0.0000
10 Sb 0.5000 0.5000 0.0000



Relative energies with respect to the most stable structure, expressed in kJ/mol of atoms: A 0.0; B 78.5.